No. 1
First-principles (GGA-PBE) data for an optimized crystal structure of Ti3AuN, as listed in Alexandria.

Cell lengths 5.764, 5.764, 4.961 Å; angles 90.00, 90.00, 120.00 degrees
Positions (direct):
Ti  0.166  0.331  0.250
Ti  0.166  0.834  0.250
Ti  0.331  0.166  0.750
Ti  0.669  0.834  0.250
Ti  0.834  0.166  0.750
Ti  0.834  0.669  0.750
Au  0.333  0.667  0.750
Au  0.667  0.333  0.250
N  0.000  0.000  0.000
N  0.000  0.000  0.500

Computed properties:
V: 14.28 Å³/atom
symmetry: No. 194
ΔE_f (raw): -0.93 eV per atom
DFT total energy: -0.2934 Ha/atom
mass density: 8.25 g/cm³

***

No. 2
First-principles (GGA-PBE) data for an optimized crystal structure of HgPb2W, as listed in Alexandria.

Cell lengths 3.742, 3.742, 6.666 Å; angles 90.00, 90.00, 90.00 degrees
Positions (direct):
Hg  0.000  0.000  0.000
Pb  0.500  0.500  0.271
Pb  0.500  0.500  0.729
W  0.000  0.000  0.500

Computed properties:
V: 23.34 Å³/atom
formation energy from the elements: 0.80 eV/atom
symmetry: No. 123
DFT total energy: -0.1603 Ha/atom
mass density: 14.21 g/cm³

***

No. 3
First-principles (GGA-PBE) data for an optimized crystal structure of BeCoHg2, as listed in Alexandria.

Cell lengths 3.887, 3.471, 5.138 Å; angles 90.00, 112.15, 90.00 degrees
Positions (direct):
Be  0.000  0.000  0.000
Co  0.869  0.500  0.738
Hg  0.289  0.000  0.577
Hg  0.581  0.500  0.161

Computed properties:
V: 16.05 Å³/atom
formation energy from the elements: 0.38 eV/atom
symmetry: No. 6
DFT total energy: -0.0910 Ha/atom
mass density: 12.13 g/cm³

***

No. 4
First-principles (GGA-PBE) data for an optimized crystal structure of Cu3AgTe4, as listed in Alexandria.

Cell lengths 5.771, 5.771, 5.771 Å; angles 90.00, 90.00, 90.00 degrees
Positions (direct):
Cu  0.000  0.000  0.500
Cu  0.000  0.500  0.000
Cu  0.500  0.000  0.000
Ag  0.000  0.000  0.000
Te  0.281  0.281  0.281
Te  0.281  0.719  0.719
Te  0.719  0.281  0.719
Te  0.719  0.719  0.281

Computed properties:
polymorph energy (0 for the lowest one): 0.000 eV per atom
V: 24.03 Å³/atom
symmetry: No. 215
ΔE_f (raw): -0.01 eV per atom
DFT total energy: -0.1278 Ha/atom
mass density: 6.99 g/cm³

***

No. 5
First-principles (GGA-PBE) data for an optimized crystal structure of Tl5Te2S6, as listed in Alexandria.

Cell lengths 13.413, 14.514, 4.086 Å; angles 90.00, 90.00, 90.00 degrees
Positions (direct):
Tl  0.000  0.000  0.000
Tl  0.061  0.263  0.000
Tl  0.200  0.483  0.000
Tl  0.300  0.983  0.000
Tl  0.439  0.763  0.000
Tl  0.500  0.500  0.000
Tl  0.561  0.237  0.000
Tl  0.700  0.017  0.000
Tl  0.800  0.517  0.000
Tl  0.939  0.737  0.000
Te  0.205  0.716  0.500
Te  0.295  0.216  0.500
Te  0.705  0.784  0.500
Te  0.795  0.284  0.500
S  0.059  0.625  0.500
S  0.109  0.863  0.000
S  0.174  0.089  0.500
S  0.326  0.589  0.500
S  0.391  0.363  0.000
S  0.441  0.125  0.500
S  0.559  0.875  0.500
S  0.609  0.637  0.000
S  0.674  0.411  0.500
S  0.826  0.911  0.500
S  0.891  0.137  0.000
S  0.941  0.375  0.500

Computed properties:
V: 30.60 Å³/atom
symmetry: No. 55
ΔE_f (raw): -0.11 eV per atom
DFT total energy: -0.1254 Ha/atom
mass density: 6.14 g/cm³

***

No. 6
First-principles (GGA-PBE) data for an optimized crystal structure of LiMgAl2H, as listed in Alexandria.

Cell lengths 4.150, 4.150, 4.279 Å; angles 90.00, 90.00, 90.00 degrees
Positions (direct):
Li  0.000  0.000  0.000
Mg  0.500  0.500  0.000
Al  0.000  0.500  0.500
Al  0.500  0.000  0.500
H  0.000  0.000  0.500

Computed properties:
V: 14.74 Å³/atom
symmetry: No. 123
DFT total energy: -0.1034 Ha/atom
mass density: 1.94 g/cm³

***

No. 7
First-principles (GGA-PBE) data for an optimized crystal structure of AgSnTe2, as listed in Alexandria.

Cell lengths 4.270, 4.270, 7.236 Å; angles 90.00, 90.00, 120.00 degrees
Positions (direct):
Ag  0.000  0.000  0.000
Sn  0.000  0.000  0.500
Te  0.333  0.667  0.234
Te  0.667  0.333  0.766

Computed properties:
V: 28.57 Å³/atom
symmetry: No. 164
ΔE_f (raw): -0.14 eV per atom
DFT total energy: -0.1260 Ha/atom
mass density: 7.00 g/cm³

***

No. 8
First-principles (GGA-PBE) data for an optimized crystal structure of Sr2AgAu2, as listed in Alexandria.

Cell lengths 5.943, 5.943, 5.943 Å; angles 118.90, 118.90, 91.91 degrees
Positions (direct):
Sr  0.250  0.750  0.500
Sr  0.750  0.250  0.500
Ag  0.000  0.000  0.000
Au  0.338  0.338  0.000
Au  0.662  0.662  0.000

Computed properties:
polymorph energy (0 for the lowest one): 0.138 eV per atom
V: 30.16 Å³/atom
formation energy from the elements: -0.48 eV/atom
symmetry: No. 139
DFT total energy: -0.1117 Ha/atom
mass density: 7.45 g/cm³

***

No. 9
First-principles (GGA-PBE) data for an optimized crystal structure of LaZr2W, as listed in Alexandria.

Cell lengths 3.488, 5.019, 5.138 Å; angles 90.00, 90.00, 90.00 degrees
Positions (direct):
La  0.000  0.000  0.000
Zr  0.000  0.500  0.500
Zr  0.500  0.500  0.000
W  0.500  0.000  0.500

Computed properties:
polymorph energy (0 for the lowest one): 0.346 eV per atom
V: 22.49 Å³/atom
formation energy from the elements: 0.52 eV/atom
symmetry: No. 47
DFT total energy: -0.3022 Ha/atom
mass density: 9.33 g/cm³

***

No. 10
First-principles (GGA-PBE) data for an optimized crystal structure of Tb12BiRu6, as listed in Alexandria.

Cell lengths 8.592, 8.592, 8.592 Å; angles 109.47, 109.47, 109.47 degrees
Positions (direct):
Tb  0.102  0.803  0.298
Tb  0.197  0.298  0.495
Tb  0.197  0.702  0.898
Tb  0.298  0.102  0.803
Tb  0.298  0.495  0.197
Tb  0.495  0.197  0.298
Tb  0.505  0.803  0.702
Tb  0.702  0.505  0.803
Tb  0.702  0.898  0.197
Tb  0.803  0.298  0.102
Tb  0.803  0.702  0.505
Tb  0.898  0.197  0.702
Bi  0.000  0.000  0.000
Ru  0.123  0.623  0.500
Ru  0.377  0.500  0.877
Ru  0.500  0.123  0.623
Ru  0.500  0.877  0.377
Ru  0.623  0.500  0.123
Ru  0.877  0.377  0.500

Computed properties:
V: 25.70 Å³/atom
formation energy from the elements: -0.32 eV/atom
symmetry: No. 204
DFT total energy: -0.2345 Ha/atom
mass density: 9.26 g/cm³

***

No. 11
First-principles (GGA-PBE) data for an optimized crystal structure of Co2NiOs, as listed in Alexandria.

Cell lengths 2.520, 4.225, 4.545 Å; angles 90.00, 94.06, 90.00 degrees
Positions (direct):
Co  0.186  0.000  0.256
Co  0.814  0.000  0.744
Ni  0.000  0.500  0.500
Os  0.500  0.500  0.000

Computed properties:
polymorph energy (0 for the lowest one): 0.154 eV per atom
V: 12.07 Å³/atom
formation energy from the elements: 0.27 eV/atom
symmetry: No. 10
DFT total energy: -0.2771 Ha/atom
mass density: 12.62 g/cm³

***

No. 12
First-principles (GGA-PBE) data for an optimized crystal structure of La2HfInRe, as listed in Alexandria.

Cell lengths 5.737, 5.737, 5.204 Å; angles 90.00, 90.00, 90.00 degrees
Positions (direct):
La  0.000  0.500  0.000
La  0.500  0.000  0.000
Hf  0.000  0.000  0.500
In  0.000  0.000  0.000
Re  0.500  0.500  0.500

Computed properties:
V: 34.25 Å³/atom
formation energy from the elements: 1.66 eV/atom
symmetry: No. 123
DFT total energy: -0.1961 Ha/atom
mass density: 7.34 g/cm³